(1)
# TbDyAsO2

Crystalline TbDyAsO2 at its relaxed geometry (PBE-GGA, Alexandria).

Computed properties:
Formation energy without anion corrections (eV/atom): -2.69
Space-group type: I4mm (107)
Size of the total moment (μB per atom): 0.00

a b c (Å): 3.8006 3.8006 6.9776
angles (deg): 105.80 105.80 90.00
Closest atoms and distances in Å follow each position.
Fractional positions:
Dy (0.1606, 0.1606, 0.3211)  4 O 2.22
Tb (0.8402, 0.8402, 0.6804)  4 O 2.23
As (0.5004, 0.5004, 0.0008)  4 Dy 3.39, 4 Tb 3.39, 8 O 3.73-3.75
O (0.2494, 0.7494, 0.4989)  2 Dy 2.22, 2 Tb 2.23
O (0.7494, 0.2494, 0.4989)  2 Dy 2.22, 2 Tb 2.23

=====

(2)
# Fe2PtRh

Crystalline Fe2PtRh at its relaxed geometry (PBE-GGA, Alexandria).

Computed properties:
DFT formation energy (kcal/mol of atoms): -1.33
Space-group type: R-3m (166)
Size of the total moment (μB per atom): 1.77

a b c (Å): 8.8366 8.8366 8.8366
angles (deg): 17.67 17.67 17.67
Closest atoms and distances in Å follow each position.
Fractional positions:
Fe (0.0013, 0.0013, 0.0013)  3 Rh 2.65, 3 Pt 2.71, 6 Fe 2.71
Fe (0.4987, 0.4987, 0.4987)  3 Rh 2.65, 3 Pt 2.71, 6 Fe 2.71
Pt (0.2500, 0.2500, 0.2500)  6 Fe 2.71, 6 Pt 2.71
Rh (0.7500, 0.7500, 0.7500)  6 Fe 2.65, 6 Rh 2.71

=====

(3)
# Fe2Ge2Pb

Crystalline Fe2Ge2Pb at its relaxed geometry (PBE-GGA, Alexandria).

Computed properties:
DFT formation energy (kcal/mol of atoms): 10.00
Space-group type: P4/mbm (127)
Size of the total moment (μB per atom): 0.00

a b c (Å): 7.4789 7.4789 2.8461
angles (deg): 90.00 90.00 90.00
Closest atoms and distances in Å follow each position.
Fractional positions:
Fe (0.6462, 0.8538, 0.5000)  6 Ge 2.53-2.73
Fe (0.8538, 0.3538, 0.5000)  6 Ge 2.53-2.73
Fe (0.1462, 0.6462, 0.5000)  6 Ge 2.53-2.73
Fe (0.3538, 0.1462, 0.5000)  6 Ge 2.53-2.73
Ge (0.6341, 0.1341, 0.0000)  6 Fe 2.53-2.73, 1 Ge 2.84
Ge (0.1341, 0.3659, 0.0000)  6 Fe 2.53-2.73, 1 Ge 2.84
Ge (0.3659, 0.8659, 0.0000)  6 Fe 2.53-2.73, 1 Ge 2.84
Ge (0.8659, 0.6341, 0.0000)  6 Fe 2.53-2.73, 1 Ge 2.84
Pb (0.5000, 0.5000, 0.0000)  2 Pb 2.85, 4 Ge 2.91
Pb (0.0000, 0.0000, 0.0000)  2 Pb 2.85, 4 Ge 2.91

=====

(4)
# MgIn5Pb6

Crystalline MgIn5Pb6 at its relaxed geometry (PBE-GGA, Alexandria).

Computed properties:
DFT formation energy (kcal/mol of atoms): 0.24
Space-group type: P2/m (10)
Size of the total moment (μB per atom): 0.00

a b c (Å): 4.7100 9.7517 7.9757
angles (deg): 90.00 72.16 90.00
Closest atoms and distances in Å follow each position.
Fractional positions:
Pb (0.8351, 0.2451, 0.3311)  7 In 3.35-3.57, 4 Pb 3.42-3.50, 1 Mg 3.47
Pb (0.5000, 0.7557, 0.0000)  2 Mg 3.35, 4 Pb 3.42-3.47, 6 In 3.43-3.54
Pb (0.1649, 0.2451, 0.6689)  7 In 3.35-3.57, 4 Pb 3.42-3.50, 1 Mg 3.47
Pb (0.5000, 0.2443, 0.0000)  2 Mg 3.35, 4 Pb 3.42-3.47, 6 In 3.43-3.54
Pb (0.1649, 0.7549, 0.6689)  7 In 3.35-3.57, 4 Pb 3.42-3.50, 1 Mg 3.47
Pb (0.8351, 0.7549, 0.3311)  7 In 3.35-3.57, 4 Pb 3.42-3.50, 1 Mg 3.47
In (0.3355, 0.5000, 0.3312)  4 In 3.42-3.49, 8 Pb 3.42-3.57
In (0.6645, 0.5000, 0.6688)  4 In 3.42-3.49, 8 Pb 3.42-3.57
In (0.6634, 0.0000, 0.6726)  8 Pb 3.35-3.53, 2 Mg 3.40-3.45, 2 In 3.50-3.54
In (0.3366, 0.0000, 0.3274)  8 Pb 3.35-3.53, 2 Mg 3.40-3.45, 2 In 3.50-3.54
In (0.0000, 0.5000, 0.0000)  4 In 3.42-3.47, 8 Pb 3.43-3.54
Mg (0.0000, 0.0000, 0.0000)  8 Pb 3.35-3.47, 4 In 3.40-3.45

=====

(5)
# Li2Ac3TaO8

Crystalline Li2Ac3TaO8 at its relaxed geometry (PBE-GGA, Alexandria).

Computed properties:
Formation energy without anion corrections (eV/atom): -2.85
Space-group type: P-3m1 (164)
Size of the total moment (μB per atom): 0.00

a b c (Å): 5.6944 5.6944 7.1845
angles (deg): 90.00 90.00 120.00
Closest atoms and distances in Å follow each position.
Fractional positions:
Li (0.6667, 0.3333, 0.7956)  4 O 1.80-1.93
Li (0.3333, 0.6667, 0.2044)  4 O 1.80-1.93
O (0.1606, 0.3212, 0.3312)  1 Li 1.93, 1 Ta 1.99
O (0.3212, 0.1606, 0.6688)  1 Li 1.93, 1 Ta 1.99
O (0.8394, 0.6788, 0.6688)  1 Li 1.93, 1 Ta 1.99
O (0.1606, 0.8394, 0.3312)  1 Li 1.93, 1 Ta 1.99
O (0.6788, 0.8394, 0.3312)  1 Li 1.93, 1 Ta 1.99
O (0.6667, 0.3333, 0.0464)  1 Li 1.80
O (0.3333, 0.6667, 0.9536)  1 Li 1.80
O (0.8394, 0.1606, 0.6688)  1 Li 1.93, 1 Ta 1.99
Ac (0.0000, 0.0000, 0.0000)  6 O 2.86
Ac (0.6667, 0.3333, 0.3482)  1 O 2.17
Ac (0.3333, 0.6667, 0.6518)  1 O 2.17
Ta (0.0000, 0.0000, 0.5000)  6 O 1.99

=====

(6)
# KRb2CoI6

Crystalline KRb2CoI6 at its relaxed geometry (PBE-GGA, Alexandria).

Computed properties:
Formation energy without anion corrections (eV/atom): -0.82
Space-group type: Fm-3m (225)
Size of the total moment (μB per atom): 0.00

a b c (Å): 8.4665 8.4665 8.4668
angles (deg): 60.00 60.00 90.00
Closest atoms and distances in Å follow each position.
Fractional positions:
I (0.2200, 0.7800, 0.0000)  1 Co 2.63
I (0.7800, 0.7800, 0.4400)  1 Co 2.63
I (0.7800, 0.7800, 0.0000)  1 Co 2.63
I (0.2200, 0.2200, 0.5600)  1 Co 2.63
I (0.2200, 0.2200, 0.0000)  1 Co 2.63
I (0.7800, 0.2200, 0.0000)  1 Co 2.63
Rb (0.7500, 0.2500, 0.5000)  12 I 4.25
Rb (0.2500, 0.7500, 0.5000)  12 I 4.25
K (0.5000, 0.5000, 0.0000)  6 I 3.35
Co (0.0000, 0.0000, 0.0000)  6 I 2.63

=====

(7)
# TlCuSb2

Crystalline TlCuSb2 at its relaxed geometry (PBE-GGA, Alexandria).

Computed properties:
Formation energy without anion corrections (eV/atom): 0.18
Space-group type: I-42d (122)
Size of the total moment (μB per atom): 0.00

a b c (Å): 5.5047 5.5047 9.0356
angles (deg): 72.27 72.27 90.00
Closest atoms and distances in Å follow each position.
Fractional positions:
Sb (0.5156, 0.1250, 0.2500)  2 Cu 2.58
Sb (0.3750, 0.4844, 0.7500)  2 Cu 2.58
Sb (0.2344, 0.6250, 0.2500)  2 Cu 2.58
Sb (0.8750, 0.7656, 0.7500)  2 Cu 2.58
Tl (0.7500, 0.2500, 0.5000)  4 Sb 3.16
Tl (0.0000, 0.0000, 0.0000)  4 Sb 3.16
Cu (0.5000, 0.5000, 0.0000)  4 Sb 2.58
Cu (0.2500, 0.7500, 0.5000)  4 Sb 2.58

=====

(8)
# Mn3AlRu

Crystalline Mn3AlRu at its relaxed geometry (PBE-GGA, Alexandria).

Computed properties:
DFT formation energy (kcal/mol of atoms): 36.19
Space-group type: Pm-3m (221)
Size of the total moment (μB per atom): 0.00

a b c (Å): 4.1325 4.1325 4.1325
angles (deg): 90.00 90.00 90.00
Closest atoms and distances in Å follow each position.
Fractional positions:
Mn (0.0000, 0.5000, 0.0000)  2 Al 2.07
Mn (0.5000, 0.0000, 0.0000)  2 Al 2.07
Mn (0.0000, 0.0000, 0.5000)  2 Al 2.07
Ru (0.5000, 0.5000, 0.5000)  12 Mn 2.92
Al (0.0000, 0.0000, 0.0000)  6 Mn 2.07

=====

(9)
# CeDy2ErS4

Crystalline CeDy2ErS4 at its relaxed geometry (PBE-GGA, Alexandria).

Computed properties:
Formation energy without anion corrections (eV/atom): -2.00
Space-group type: P2/m (10)
Size of the total moment (μB per atom): 0.08

a b c (Å): 3.9058 6.8201 6.7954
angles (deg): 109.25 90.00 90.00
Closest atoms and distances in Å follow each position.
Fractional positions:
S (0.0000, 0.7586, 0.2559)  3 Dy 2.73-2.79, 1 Er 2.76, 2 Ce 2.82
S (0.5000, 0.2439, 0.2507)  3 Dy 2.74-2.79, 2 Er 2.76, 1 Ce 2.81
S (0.0000, 0.2414, 0.7441)  3 Dy 2.73-2.79, 1 Er 2.76, 2 Ce 2.82
S (0.5000, 0.7561, 0.7493)  3 Dy 2.74-2.79, 2 Er 2.76, 1 Ce 2.81
Ce (0.5000, 0.5000, 0.0000)  6 S 2.81-2.82
Dy (0.0000, 0.5000, 0.5000)  6 S 2.79
Dy (0.5000, 0.0000, 0.5000)  6 S 2.73-2.74
Er (0.0000, 0.0000, 0.0000)  6 S 2.76